First-principles (GGA-PBEsol) data for an optimized crystal structure of Zn2Cu, as listed in Alexandria via LeMat-Bulk.

a = 5.000 Å, b = 5.000 Å, c = 6.184 Å
α = 103.14°, β = 103.14°, γ = 30.74°
Fractional coordinates of all 6 atoms:
Zn 0.000 0.000 0.000
Zn 0.056 0.056 0.603
Zn 0.383 0.383 0.284
Zn 0.724 0.724 0.939
Cu 0.332 0.332 0.664
Cu 0.664 0.664 0.329

- SG = Cm, No. 8
- calculated total energy (eV per atom) = -2.575
- total magnetic moment (Bohr magnetons per cell) = 0.00